Density functional theory data (GGA-PBEsol) for crystalline Zn5P6H18O30 at its relaxed geometry.

Summary:
* DOS at the Fermi energy: 26.848 states/eV/cell
* E: -5.9049 eV/atom

Structure (CIF):
```
data_Zn5P6H18O30
_chemical_formula_sum 'Zn5 P6 H18 O30'
_symmetry_space_group_name_H-M 'P -1'
_symmetry_Int_Tables_number 2
_cell_length_a 8.311
_cell_length_b 9.840
_cell_length_c 9.928
_cell_angle_alpha 112.47
_cell_angle_beta 98.19
_cell_angle_gamma 111.94
loop_
_symmetry_equiv_pos_as_xyz
'x,y,z'
'-x,-y,-z'
loop_
_atom_site_label
_atom_site_fract_x
_atom_site_fract_y
_atom_site_fract_z
Zn1 0.000 0.000 0.000
Zn2 0.064 0.235 0.668
Zn3 0.437 0.566 0.333
P1 0.123 0.368 0.019
P2 0.238 0.492 0.565
P3 0.316 0.080 0.560
H1 0.060 0.533 0.890
H2 0.117 0.658 0.550
H3 0.164 0.056 0.284
H4 0.188 0.840 0.927
H5 0.200 0.232 0.291
H6 0.315 0.037 0.967
H7 0.420 0.897 0.556
H8 0.472 0.714 0.880
H9 0.484 0.229 0.942
O1 0.034 0.634 0.910
O2 0.056 0.350 0.546
O3 0.078 0.385 0.870
O4 0.129 0.205 0.981
O5 0.159 0.970 0.403
O6 0.183 0.118 0.222
O7 0.184 0.936 0.919
O8 0.224 0.656 0.614
O9 0.268 0.187 0.688
O10 0.272 0.435 0.408
O11 0.309 0.517 0.130
O12 0.371 0.972 0.620
O13 0.398 0.531 0.697
O14 0.483 0.197 0.535
O15 0.498 0.191 0.018
```

Density functional theory data (GGA-PBEsol) for crystalline LiLa3N at its relaxed geometry.

Summary:
* DOS at the Fermi energy: 3.255 states/eV/cell
* ΔE_f (raw): 1.08 eV per atom
* E: -4.2263 eV/atom
* polymorph energy (0 for the lowest one): 1.5984 eV/atom

Structure (CIF):
```
data_LiLa3N
_chemical_formula_sum 'Li1 La3 N1'
_symmetry_space_group_name_H-M 'P m -3 m'
_symmetry_Int_Tables_number 221
_symmetry_space_group_name_Hall '-P 4 2 3'
_cell_length_a 4.937
_cell_length_b 4.937
_cell_length_c 4.937
_cell_angle_alpha 90.00
_cell_angle_beta 90.00
_cell_angle_gamma 90.00
loop_
_atom_site_label
_atom_site_fract_x
_atom_site_fract_y
_atom_site_fract_z
Li1 0.000 0.000 0.000
La1 0.000 0.000 0.500
N1 0.500 0.500 0.500
```

Density functional theory data (GGA-PBEsol) for crystalline AlZnH4O2F5 at its relaxed geometry.

Summary:
* DOS at the Fermi energy: 0.000 states/eV/cell
* E: -5.1361 eV/atom

Structure (CIF):
```
data_AlZnH4O2F5
_chemical_formula_sum 'Al4 Zn4 H16 O8 F20'
_symmetry_space_group_name_H-M 'I m m a'
_symmetry_Int_Tables_number 74
_symmetry_space_group_name_Hall '-I 2b 2'
_cell_length_a 7.233
_cell_length_b 10.487
_cell_length_c 6.272
_cell_angle_alpha 90.00
_cell_angle_beta 90.00
_cell_angle_gamma 90.00
loop_
_atom_site_label
_atom_site_fract_x
_atom_site_fract_y
_atom_site_fract_z
Al1 0.250 0.250 0.250
Zn1 0.000 0.000 0.000
H1 0.110 0.090 0.620
O1 0.000 0.066 0.705
F1 0.000 0.250 0.305
F2 0.219 0.128 0.050
```

Density functional theory data (GGA-PBEsol) for crystalline NbTcTe2N at its relaxed geometry.

Summary:
* DOS at the Fermi energy: 3.960 states/eV/cell
* ΔE_f (raw): 0.81 eV per atom
* E: -6.7198 eV/atom

Structure (CIF):
```
data_NbTcTe2N
_chemical_formula_sum 'Nb1 Tc1 Te2 N1'
_symmetry_space_group_name_H-M 'P 4/m m m'
_symmetry_Int_Tables_number 123
_symmetry_space_group_name_Hall '-P 4 2'
_cell_length_a 5.453
_cell_length_b 5.453
_cell_length_c 3.829
_cell_angle_alpha 90.00
_cell_angle_beta 90.00
_cell_angle_gamma 90.00
loop_
_atom_site_label
_atom_site_fract_x
_atom_site_fract_y
_atom_site_fract_z
Nb1 0.000 0.000 0.000
Tc1 0.500 0.500 0.500
Te1 0.000 0.500 0.000
N1 0.000 0.000 0.500
```